Entry 1:
Here is a geometry-optimized CdH3Pt structure from the Alexandria database. Energies are from GGA-PBE.

Computed properties:
Excess energy over the best structure of this formula in the dataset in meV per atom: 998.0
N(E_F) in states/eV per cell: 3.6

CIF file:
```
data_CdH3Pt
_chemical_formula_sum 'Cd1 H3 Pt1'
_space_group_name_H-M_alt 'P m -3 m'
_space_group_IT_number 221
_space_group_name_Hall '-P 4 2 3'
_cell_length_a 3.7643
_cell_length_b 3.7643
_cell_length_c 3.7643
_cell_angle_alpha 90.00
_cell_angle_beta 90.00
_cell_angle_gamma 90.00
loop_
_atom_site_label
_atom_site_fract_x
_atom_site_fract_y
_atom_site_fract_z
_atom_site_occupancy
Cd1 0.0000 0.0000 0.0000 1
H1 0.0000 0.0000 0.5000 1
Pt1 0.5000 0.5000 0.5000 1
```

---

Entry 2:
Here is a geometry-optimized CdHPt3 structure from the Alexandria database. Energies are from GGA-PBE.

Computed properties:
Excess energy over the best structure of this formula in the dataset in meV per atom: 13.7
N(E_F) in states/eV per cell: 14.9

CIF file:
```
data_CdHPt3
_chemical_formula_sum 'Cd6 H6 Pt18'
_space_group_name_H-M_alt 'R -3'
_space_group_IT_number 148
_space_group_name_Hall '-R 3'
_cell_length_a 4.8902
_cell_length_b 4.8902
_cell_length_c 21.3065
_cell_angle_alpha 90.00
_cell_angle_beta 90.00
_cell_angle_gamma 120.00
loop_
_atom_site_label
_atom_site_fract_x
_atom_site_fract_y
_atom_site_fract_z
_atom_site_occupancy
Cd1 0.0000 0.0000 0.1665 1
H1 0.0000 0.0000 0.4277 1
Pt1 0.0007 0.3383 0.3906 1
```

---

Entry 3:
Here is a geometry-optimized CdHPt3 structure from the Alexandria database. Energies are from GGA-PBE.

Computed properties:
Excess energy over the best structure of this formula in the dataset in meV per atom: 95.0
N(E_F) in states/eV per cell: 14.7

CIF file:
```
data_CdHPt3
_chemical_formula_sum 'Cd8 H8 Pt24'
_space_group_name_H-M_alt 'C 1 2/c 1'
_space_group_IT_number 15
_cell_length_a 9.9005
_cell_length_b 11.5347
_cell_length_c 4.9812
_cell_angle_alpha 90.00
_cell_angle_beta 98.85
_cell_angle_gamma 90.00
loop_
_space_group_symop_operation_xyz
'x,y,z'
'-x,-y,-z'
'-x,y,-z+1/2'
'x,-y,z+1/2'
'x+1/2,y+1/2,z'
'-x+1/2,-y+1/2,-z'
'-x+1/2,y+1/2,-z+1/2'
'x+1/2,-y+1/2,z+1/2'
loop_
_atom_site_label
_atom_site_fract_x
_atom_site_fract_y
_atom_site_fract_z
_atom_site_occupancy
Cd1 0.1311 0.0684 0.0556 1
H1 0.0000 0.2523 0.7500 1
H2 0.0000 0.3726 0.2500 1
Pt1 0.1268 0.3135 0.0421 1
Pt2 0.1285 0.4395 0.5288 1
Pt3 0.1329 0.1870 0.5511 1
```

---

Please write out number 3 again, unchanged.
Here is a geometry-optimized CdHPt3 structure from the Alexandria database. Energies are from GGA-PBE.

Computed properties:
Excess energy over the best structure of this formula in the dataset in meV per atom: 95.0
N(E_F) in states/eV per cell: 14.7

CIF file:
```
data_CdHPt3
_chemical_formula_sum 'Cd8 H8 Pt24'
_space_group_name_H-M_alt 'C 1 2/c 1'
_space_group_IT_number 15
_cell_length_a 9.9005
_cell_length_b 11.5347
_cell_length_c 4.9812
_cell_angle_alpha 90.00
_cell_angle_beta 98.85
_cell_angle_gamma 90.00
loop_
_space_group_symop_operation_xyz
'x,y,z'
'-x,-y,-z'
'-x,y,-z+1/2'
'x,-y,z+1/2'
'x+1/2,y+1/2,z'
'-x+1/2,-y+1/2,-z'
'-x+1/2,y+1/2,-z+1/2'
'x+1/2,-y+1/2,z+1/2'
loop_
_atom_site_label
_atom_site_fract_x
_atom_site_fract_y
_atom_site_fract_z
_atom_site_occupancy
Cd1 0.1311 0.0684 0.0556 1
H1 0.0000 0.2523 0.7500 1
H2 0.0000 0.3726 0.2500 1
Pt1 0.1268 0.3135 0.0421 1
Pt2 0.1285 0.4395 0.5288 1
Pt3 0.1329 0.1870 0.5511 1
```

---

Number 1 is which compound? CdH3Pt

---

The highest N(E_F) belongs to which entry? number 2

---

Which formula does entry 1 have? CdH3Pt